An optimized crystal structure of MnTlClF2, computed with PBE+U.

extended XYZ file:
```
5
Lattice="4.3479 0.0000 0.0000 0.0000 4.3479 0.0000 0.0000 0.0000 5.1998" Properties=species:S:1:pos:R:3 pbc="T T T"
F 2.1740 0.0000 0.0000
Mn 0.0000 0.0000 0.0000
F 0.0000 2.1740 0.0000
Tl 2.1740 2.1740 2.5999
Cl 0.0000 0.0000 2.5999
```

Properties
The calculation puts the total energy at -25.04 eV per formula unit.